(1)
{"formula": "Li2CaAu", "functional": "GGA-PBEsol", "state": "optimized geometry", "sg": "No. 44", "cell": [[4.738, 0.000, 0.000], [2.369, 4.276, 0.033], [2.369, 1.372, 4.050]], "species": ["Ca", "Au", "Li", "Li"], "fractional_positions": [[0.753, 0.747, 0.747], [0.515, 0.485, 0.485], [0.988, 0.012, 0.012], [0.244, 0.256, 0.256]]}


(2)
{"formula": "Li2CaAu", "functional": "GGA-PBEsol", "state": "optimized geometry", "sg": "No. 71", "cell": [[3.608, 0.000, 0.000], [0.000, 4.763, 0.000], [-1.804, -2.382, 4.869]], "species": ["Ca", "Au", "Li", "Li"], "fractional_positions": [[0.000, 0.500, 0.000], [0.500, 0.000, 0.000], [0.787, 0.787, 0.574], [0.213, 0.213, 0.426]]}


In terms of stability, (2) leads; the second structure lies 19 meV per atom higher.


(1)
{"formula": "Li2CaAu", "functional": "GGA-PBEsol", "state": "optimized geometry", "sg": "No. 166", "cell": [[4.438, 0.000, 0.000], [2.219, 3.843, 0.000], [2.219, 1.281, 4.722]], "species": ["Ca", "Au", "Li", "Li"], "fractional_positions": [[0.000, 0.000, 0.000], [0.500, 0.500, 0.500], [0.215, 0.215, 0.355], [0.785, 0.785, 0.645]]}


(2)
{"formula": "Li2CaAu", "functional": "GGA-PBEsol", "state": "optimized geometry", "sg": "No. 99", "cell": [[-2.564, -1.795, 1.673], [2.183, -0.562, 2.741], [-2.146, 5.757, 2.888]], "species": ["Ca", "Au", "Li", "Li"], "fractional_positions": [[0.500, 0.500, 0.293], [0.000, 0.000, 0.544], [0.000, 0.000, 0.935], [0.500, 0.500, 0.728]]}


In terms of stability, (2) leads; the second structure lies 35 meV per atom higher.


(1)
{"formula": "Li2CaAu", "functional": "GGA-PBEsol", "state": "optimized geometry", "sg": "No. 160", "cell": [[-3.666, -2.571, 0.213], [-0.329, -3.652, -2.579], [0.759, -4.763, 2.751]], "species": ["Ca", "Au", "Li", "Li"], "fractional_positions": [[0.244, 0.244, 0.268], [0.453, 0.453, 0.641], [0.041, 0.041, 0.878], [0.764, 0.764, 0.708]]}


(2)
{"formula": "Li2CaAu", "functional": "GGA-PBEsol", "state": "optimized geometry", "sg": "No. 139", "cell": [[-1.979, -1.624, 3.329], [-0.777, -3.508, -2.173], [5.219, 0.827, 0.857]], "species": ["Ca", "Au", "Li", "Li"], "fractional_positions": [[0.000, 0.000, 0.000], [0.500, 0.500, 0.000], [0.750, 0.250, 0.500], [0.250, 0.750, 0.500]]}


In terms of stability, (1) leads; the second structure lies 31 meV per atom higher.


(1)
{"formula": "CaMo2Au", "functional": "GGA-PBEsol", "state": "optimized geometry", "sg": "No. 12", "cell": [[2.680, -0.002, 0.000], [-0.932, 5.187, 0.000], [-0.874, -2.593, 5.034]], "species": ["Mo", "Mo", "Au", "Ca"], "fractional_positions": [[0.000, 0.000, 0.500], [0.500, 0.500, 0.500], [0.500, 0.000, 0.000], [0.000, 0.500, 0.000]]}


(2)
{"formula": "CaMo2Au", "functional": "GGA-PBEsol", "state": "optimized geometry", "sg": "No. 216", "cell": [[4.621, 0.000, 0.000], [2.310, 4.002, 0.000], [2.310, 1.334, 3.773]], "species": ["Mo", "Mo", "Au", "Ca"], "fractional_positions": [[0.000, 0.000, 0.000], [0.750, 0.750, 0.750], [0.500, 0.500, 0.500], [0.250, 0.250, 0.250]]}


In terms of stability, (2) leads; the second structure lies 27 meV per atom higher.


(1)
{"formula": "CaMoAu2", "functional": "GGA-PBEsol", "state": "optimized geometry", "sg": "No. 166", "cell": [[-2.689, 0.720, -0.990], [-1.664, -2.026, -1.362], [-5.236, -2.989, 7.638]], "species": ["Mo", "Au", "Au", "Ca"], "fractional_positions": [[0.000, 0.000, 0.000], [0.254, 0.254, 0.237], [0.746, 0.746, 0.763], [0.500, 0.500, 0.500]]}


(2)
{"formula": "CaMoAu2", "functional": "GGA-PBEsol", "state": "optimized geometry", "sg": "No. 123", "cell": [[-2.291, 1.288, -1.337], [-1.605, -4.456, -1.541], [-2.694, -0.469, 4.163]], "species": ["Mo", "Au", "Au", "Ca"], "fractional_positions": [[0.500, 0.000, 0.000], [0.000, 0.000, 0.500], [0.000, 0.500, 0.000], [0.500, 0.500, 0.500]]}


In terms of stability, (2) leads; the second structure lies 284 meV per atom higher.


(1)
{"formula": "NaCa3Au", "functional": "GGA-PBEsol", "state": "optimized geometry", "sg": "No. 221", "cell": [[-1.553, -3.795, 3.993], [5.236, 0.272, 2.295], [-1.711, 4.276, 3.398]], "species": ["Na", "Ca", "Ca", "Ca", "Au"], "fractional_positions": [[0.000, 0.000, 0.000], [0.000, 0.500, 0.000], [0.000, 0.000, 0.500], [0.500, 0.000, 0.000], [0.500, 0.500, 0.500]]}


(2)
{"formula": "NaCa3Au", "functional": "GGA-PBEsol", "state": "optimized geometry", "sg": "No. 221", "cell": [[-2.010, -4.799, 2.378], [4.333, 0.036, 3.735], [-3.148, 3.114, 3.622]], "species": ["Na", "Ca", "Ca", "Ca", "Au"], "fractional_positions": [[0.500, 0.500, 0.500], [0.000, 0.500, 0.000], [0.000, 0.000, 0.500], [0.500, 0.000, 0.000], [0.000, 0.000, 0.000]]}


In terms of stability, (2) leads; the second structure lies 881 meV per atom higher.


(1)
{"formula": "CaOsAu2", "functional": "GGA-PBEsol", "state": "optimized geometry", "sg": "No. 160", "cell": [[2.918, 0.000, 0.000], [1.459, 2.527, 0.000], [1.459, 0.842, 9.515]], "species": ["Os", "Ca", "Au", "Au"], "fractional_positions": [[0.747, 0.747, 0.758], [0.498, 0.498, 0.507], [0.003, 0.003, 0.992], [0.252, 0.252, 0.243]]}


(2)
{"formula": "CaOsAu2", "functional": "GGA-PBEsol", "state": "optimized geometry", "sg": "No. 119", "cell": [[-1.665, -0.729, 3.600], [1.134, -3.862, -0.257], [4.042, 3.275, 0.273]], "species": ["Os", "Ca", "Au", "Au"], "fractional_positions": [[0.250, 0.750, 0.500], [0.500, 0.500, 0.000], [0.000, 0.000, 0.000], [0.750, 0.250, 0.500]]}


In terms of stability, (2) leads; the second structure lies 141 meV per atom higher.


(1)
{"formula": "CaP2Au", "functional": "GGA-PBEsol", "state": "optimized geometry", "sg": "No. 123", "cell": [[3.770, 0.030, 0.000], [-0.034, 4.311, 0.000], [0.000, 0.000, 4.310]], "species": ["Au", "Ca", "P", "P"], "fractional_positions": [[0.500, 0.000, 0.500], [0.500, 0.500, 0.000], [0.000, 0.000, 0.000], [0.000, 0.500, 0.500]]}


(2)
{"formula": "CaP2Au", "functional": "GGA-PBEsol", "state": "optimized geometry", "sg": "No. 10", "cell": [[-1.460, 0.901, -3.485], [3.812, -0.695, -1.776], [-1.591, -4.741, -0.559]], "species": ["Au", "Ca", "P", "P"], "fractional_positions": [[0.500, 0.000, 0.500], [0.500, 0.500, 0.000], [0.000, 0.093, 0.213], [0.000, 0.907, 0.787]]}


In terms of stability, (2) leads; the second structure lies 277 meV per atom higher.


(1)
{"formula": "CaPd2Au2", "functional": "GGA-PBEsol", "state": "optimized geometry", "sg": "No. 139", "cell": [[-0.888, 2.317, 2.989], [-1.897, -2.929, 1.707], [6.757, -1.448, 0.605]], "species": ["Ca", "Au", "Au", "Pd", "Pd"], "fractional_positions": [[0.000, 0.000, 0.000], [0.398, 0.398, 0.795], [0.602, 0.602, 0.205], [0.250, 0.750, 0.500], [0.750, 0.250, 0.500]]}


(2)
{"formula": "CaPd2Au2", "functional": "GGA-PBEsol", "state": "optimized geometry", "sg": "No. 127", "cell": [[3.210, 0.000, 0.000], [0.000, 7.495, 0.000], [0.000, 0.000, 7.495]], "species": ["Ca", "Ca", "Au", "Au", "Au", "Au", "Pd", "Pd", "Pd", "Pd"], "fractional_positions": [[0.000, 0.000, 0.000], [0.000, 0.500, 0.500], [0.500, 0.167, 0.667], [0.500, 0.667, 0.833], [0.500, 0.833, 0.333], [0.500, 0.333, 0.167], [0.000, 0.371, 0.871], [0.000, 0.871, 0.629], [0.000, 0.629, 0.129], [0.000, 0.129, 0.371]]}


In terms of stability, (2) leads; the second structure lies 31 meV per atom higher.


(1)
{"formula": "CaPtAu", "functional": "GGA-PBEsol", "state": "optimized geometry", "sg": "No. 216", "cell": [[4.559, 0.000, 0.000], [2.280, 3.948, 0.000], [2.280, 1.316, 3.723]], "species": ["Ca", "Au", "Pt"], "fractional_positions": [[0.250, 0.250, 0.250], [0.500, 0.500, 0.500], [0.000, 0.000, 0.000]]}


(2)
{"formula": "CaPtAu", "functional": "GGA-PBEsol", "state": "optimized geometry", "sg": "No. 187", "cell": [[-2.443, 2.080, 1.647], [-2.425, -3.654, 1.017], [3.165, 1.465, 2.847]], "species": ["Ca", "Au", "Pt"], "fractional_positions": [[0.000, 0.667, 0.333], [0.500, 0.000, 0.000], [0.500, 0.333, 0.667]]}


In terms of stability, (2) leads; the second structure lies 580 meV per atom higher.


(1)
{"formula": "Ca2ReAu", "functional": "GGA-PBEsol", "state": "optimized geometry", "sg": "No. 166", "cell": [[3.176, 0.000, 0.000], [1.588, 2.751, 0.000], [1.588, 0.917, 9.492]], "species": ["Re", "Ca", "Ca", "Au"], "fractional_positions": [[0.500, 0.500, 0.500], [0.249, 0.249, 0.253], [0.751, 0.751, 0.747], [0.000, 0.000, 0.000]]}


(2)
{"formula": "Ca2ReAu", "functional": "GGA-PBEsol", "state": "optimized geometry", "sg": "No. 25", "cell": [[2.846, 0.000, 0.000], [0.000, 5.202, 0.000], [0.000, 0.000, 5.492]], "species": ["Re", "Ca", "Ca", "Au"], "fractional_positions": [[0.500, 0.000, 0.549], [0.000, 0.000, 0.060], [0.000, 0.500, 0.686], [0.500, 0.500, 0.206]]}


In terms of stability, (2) leads; the second structure lies 172 meV per atom higher.


(1)
{"formula": "CaRh2Au2", "functional": "GGA-PBEsol", "state": "optimized geometry", "sg": "No. 139", "cell": [[3.741, 0.000, 0.000], [0.000, 3.741, 0.000], [-1.871, -1.871, 6.600]], "species": ["Rh", "Rh", "Ca", "Au", "Au"], "fractional_positions": [[0.250, 0.750, 0.500], [0.750, 0.250, 0.500], [0.000, 0.000, 0.000], [0.399, 0.399, 0.798], [0.601, 0.601, 0.202]]}


(2)
{"formula": "CaRh2Au2", "functional": "GGA-PBEsol", "state": "optimized geometry", "sg": "No. 139", "cell": [[4.560, 0.000, 0.000], [0.000, 4.560, 0.000], [-2.280, -2.280, 4.740]], "species": ["Rh", "Rh", "Ca", "Au", "Au"], "fractional_positions": [[0.380, 0.380, 0.759], [0.620, 0.620, 0.241], [0.000, 0.000, 0.000], [0.250, 0.750, 0.500], [0.750, 0.250, 0.500]]}


In terms of stability, (1) leads; the second structure lies 71 meV per atom higher.


(1)
{"formula": "CaRuAu", "functional": "GGA-PBEsol", "state": "optimized geometry", "sg": "No. 107", "cell": [[-2.740, -0.846, 0.540], [-0.310, -0.781, -2.794], [3.622, -5.077, 2.541]], "species": ["Ru", "Ca", "Au"], "fractional_positions": [[0.658, 0.658, 0.316], [0.330, 0.330, 0.659], [0.012, 0.012, 0.024]]}


(2)
{"formula": "CaRuAu", "functional": "GGA-PBEsol", "state": "optimized geometry", "sg": "No. 187", "cell": [[3.452, 0.000, 0.000], [0.000, 4.449, 0.000], [0.000, -2.225, 3.853]], "species": ["Ru", "Ca", "Au"], "fractional_positions": [[0.500, 0.667, 0.333], [0.000, 0.333, 0.667], [0.500, 0.000, 0.000]]}


In terms of stability, (2) leads; the second structure lies 123 meV per atom higher.


(1)
{"formula": "SrCa2Au", "functional": "GGA-PBEsol", "state": "optimized geometry", "sg": "No. 71", "cell": [[3.774, 0.000, 0.000], [0.000, 5.749, 0.000], [-1.887, -2.875, 6.147]], "species": ["Sr", "Ca", "Ca", "Au"], "fractional_positions": [[0.500, 0.000, 0.000], [0.687, 0.687, 0.375], [0.313, 0.313, 0.625], [0.000, 0.500, 0.000]]}


(2)
{"formula": "SrCa2Au", "functional": "GGA-PBEsol", "state": "optimized geometry", "sg": "No. 123", "cell": [[3.712, 0.000, 0.000], [0.000, 3.712, 0.000], [0.000, 0.000, 9.600]], "species": ["Sr", "Ca", "Ca", "Au"], "fractional_positions": [[0.500, 0.500, 0.000], [0.000, 0.000, 0.674], [0.000, 0.000, 0.326], [0.500, 0.500, 0.500]]}


(3)
{"formula": "SrCa2Au", "functional": "GGA-PBEsol", "state": "optimized geometry", "sg": "No. 99", "cell": [[-2.436, 1.232, 2.568], [-2.823, -0.602, -2.390], [-0.942, -8.814, 3.334]], "species": ["Sr", "Ca", "Ca", "Au"], "fractional_positions": [[0.500, 0.500, 0.566], [0.500, 0.500, 0.933], [0.000, 0.000, 0.235], [0.000, 0.000, 0.766]]}


In terms of stability, (2) leads; the second structure lies 5 meV per atom higher.